(1)
Below is SrLa3Os after structural relaxation, with properties calculated at the PBE-GGA level.

DOS(E_F)	11.3	states/eV/f.u.
E_tot	-26.06	eV for the cell shown
crystal system	tetragonal
polymorph energy (0 for the lowest one)	410.4	meV/atom
ΔE_f	327	meV per atom

Lattice parameters (Å, degrees): 4.4013 4.4013 10.2361 90.00 90.00 90.00
Space group P4mm (No. 99)
Unique sites:
1 Sr 0.0000 0.0000 0.0000 [1 per cell]
2 La 0.0000 0.0000 0.6123 [1 per cell]
3 La 0.0000 0.5000 0.3353 [2 per cell]
4 Os 0.5000 0.5000 0.5356 [1 per cell]


(2)
Below is Pm7SiSe5 after structural relaxation, with properties calculated at the PBE-GGA level.

DOS(E_F)	7.9	states/eV/f.u.
E_tot	-303.89	eV for the cell shown
crystal system	monoclinic
formation energy without anion corrections	-19.87	eV/f.u.

Lattice parameters (Å, degrees): 13.6901 4.1577 24.6834 90.00 90.05 90.00
Space group Cm (No. 8)
Unique sites:
1 Pm 0.0000 0.0000 0.0000 [2 per cell]
2 Pm 0.0006 0.0000 0.1364 [2 per cell]
3 Pm 0.0568 0.5000 0.8561 [2 per cell]
4 Pm 0.0580 0.5000 0.2805 [2 per cell]
5 Pm 0.1021 0.0000 0.7003 [2 per cell]
6 Pm 0.1051 0.0000 0.4350 [2 per cell]
7 Pm 0.1589 0.5000 0.5681 [2 per cell]
8 Pm 0.2330 0.5000 0.0682 [2 per cell]
9 Pm 0.2877 0.0000 0.9354 [2 per cell]
10 Pm 0.2889 0.0000 0.2007 [2 per cell]
11 Pm 0.3336 0.5000 0.7806 [2 per cell]
12 Pm 0.3355 0.5000 0.3562 [2 per cell]
13 Pm 0.3906 0.0000 0.6365 [2 per cell]
14 Pm 0.3927 0.0000 0.5001 [2 per cell]
15 Si 0.0064 0.0000 0.5695 [2 per cell]
16 Si 0.3855 0.0000 0.0684 [2 per cell]
17 Se 0.1432 0.5000 0.1738 [2 per cell]
18 Se 0.1425 0.5000 0.9628 [2 per cell]
19 Se 0.1950 0.0000 0.8181 [2 per cell]
20 Se 0.1969 0.0000 0.3182 [2 per cell]
21 Se 0.2479 0.5000 0.6738 [2 per cell]
22 Se 0.2502 0.5000 0.4629 [2 per cell]
23 Se 0.4188 0.5000 0.8906 [2 per cell]
24 Se 0.4199 0.5000 0.2459 [2 per cell]
25 Se 0.4717 0.0000 0.7459 [2 per cell]
26 Se 0.4735 0.0000 0.3907 [2 per cell]


(3)
Below is TcAgSb2I after structural relaxation, with properties calculated at the PBE-GGA level.

DOS(E_F)	4.7	states/eV/f.u.
E_tot	-20.16	eV for the cell shown
crystal system	tetragonal
polymorph energy (0 for the lowest one)	0.0	meV/atom
formation energy without anion corrections	2.85	eV/f.u.

Lattice parameters (Å, degrees): 5.0493 5.0493 5.9541 90.00 90.00 90.00
Space group P4/mmm (No. 123)
Unique sites:
1 Tc 0.0000 0.0000 0.0000 [1 per cell]
2 Ag 0.5000 0.5000 0.5000 [1 per cell]
3 Sb 0.0000 0.5000 0.0000 [2 per cell]
4 I 0.0000 0.0000 0.5000 [1 per cell]